# BaCuSnTe3 | the Alexandria database | GGA-PBE | optimized geometry
data_BaCuSnTe3
_cell_length_a 9.706
_cell_length_b 4.411
_cell_length_c 9.713
_cell_angle_alpha 90.00
_cell_angle_beta 105.16
_cell_angle_gamma 90.00
_symmetry_space_group_name_H-M 'P 1 21/m 1'
_symmetry_Int_Tables_number 11
_symmetry_space_group_name_Hall '-P 2yb'
loop_
_atom_site_label
_atom_site_fract_x
_atom_site_fract_y
_atom_site_fract_z
Ba1 0.176 0.250 0.238
Cu1 0.065 0.250 0.571
Sn1 0.345 0.750 0.862
Te1 0.118 0.250 0.860
Te2 0.213 0.750 0.532
Te3 0.446 0.750 0.188
# Energy in eV per atom: -3.91
# Volume in Å³ per atom: 33.4
# Density of states at the Fermi level in states/eV/atom: 0.58
# Magnetization in μB per cell: 0.00


# SrCdPt2 | the Alexandria database | GGA-PBE | optimized geometry
data_SrCdPt2
_cell_length_a 6.956
_cell_length_b 6.956
_cell_length_c 6.956
_cell_angle_alpha 90.00
_cell_angle_beta 90.00
_cell_angle_gamma 90.00
_symmetry_space_group_name_H-M 'F -4 3 m'
_symmetry_Int_Tables_number 216
_symmetry_space_group_name_Hall 'F -4 2 3'
loop_
_atom_site_label
_atom_site_fract_x
_atom_site_fract_y
_atom_site_fract_z
Sr1 0.000 0.000 0.000
Cd1 0.250 0.250 0.250
Pt1 0.000 0.000 0.500
Pt2 0.250 0.250 0.750
# Energy in eV per atom: -3.92
# Volume in Å³ per atom: 21.0
# Density of states at the Fermi level in states/eV/atom: 0.78
# Magnetization in μB per cell: 0.00
# Formation enthalpy at 0 K in eV/atom: -0.25